First-principles (GGA-PBE) data for a relaxed Pr4Ho4Th crystal, as listed in the Alexandria database.

Results
The value obtained for the formation energy is 0.03 eV/atom. For the offset from the most stable computed form, the calculation gives 0.0 meV/atom. For the calculated volume, the calculation gives 300.86 Å³/cell. Its space group is No. 139. Its crystal system is tetragonal.

Structure (CIF):
```
data_Pr4Ho4Th
_cell_length_a 5.0906
_cell_length_b 8.0981
_cell_length_c 8.0981
_cell_angle_alpha 84.33
_cell_angle_beta 71.68
_cell_angle_gamma 71.68
_symmetry_space_group_name_H-M 'P 1'
_symmetry_Int_Tables_number 1
_symmetry_space_group_name_Hall 'P 1'
loop_
_atom_site_label
_atom_site_type_symbol
_atom_site_fract_x
_atom_site_fract_y
_atom_site_fract_z
_atom_site_occupancy
Pr1 Pr 0.3277 0.6724 0.6722 1
Pr2 Pr 0.6723 0.3276 0.3278 1
Ho1 Ho 0.3373 0.3255 0.9999 1
Ho2 Ho 0.6628 0.9999 0.6745 1
Ho3 Ho 0.3372 0.0001 0.3255 1
Th1 Th 0.0000 0.0000 0.0000 1
Pr3 Pr 0.9999 0.3278 0.6724 1
Pr4 Pr 0.0001 0.6722 0.3276 1
Ho4 Ho 0.6627 0.6745 0.0001 1
```

---

First-principles (GGA-PBE) data for a relaxed PrHo2Th crystal, as listed in the Alexandria database.

Results
The value obtained for the formation energy is 0.04 eV/atom. For the offset from the most stable computed form, the calculation gives 25.0 meV/atom. For the calculated volume, the calculation gives 130.48 Å³/cell. Its space group is No. 160. Its crystal system is trigonal.

Structure (CIF):
```
data_PrHo2Th
_cell_length_a 3.5903
_cell_length_b 3.5903
_cell_length_c 11.8709
_cell_angle_alpha 81.30
_cell_angle_beta 81.30
_cell_angle_gamma 60.00
_symmetry_space_group_name_H-M 'P 1'
_symmetry_Int_Tables_number 1
_symmetry_space_group_name_Hall 'P 1'
loop_
_atom_site_label
_atom_site_type_symbol
_atom_site_fract_x
_atom_site_fract_y
_atom_site_fract_z
_atom_site_occupancy
Ho1 Ho 0.0841 0.0841 0.7477 1
Th1 Th 0.5004 0.5004 0.4989 1
Ho2 Ho 0.2490 0.2490 0.2530 1
Pr1 Pr 0.6666 0.6666 0.0003 1
```

---

First-principles (GGA-PBE) data for a relaxed Pr8HoTh2 crystal, as listed in the Alexandria database.

Results
The value obtained for the formation energy is 0.16 eV/atom. For the calculated volume, the calculation gives 391.82 Å³/cell. Its space group is No. 71. Its crystal system is orthorhombic.

Structure (CIF):
```
data_Pr8HoTh2
_cell_length_a 5.7796
_cell_length_b 8.3670
_cell_length_c 9.5655
_cell_angle_alpha 115.93
_cell_angle_beta 107.58
_cell_angle_gamma 90.00
_symmetry_space_group_name_H-M 'P 1'
_symmetry_Int_Tables_number 1
_symmetry_space_group_name_Hall 'P 1'
loop_
_atom_site_label
_atom_site_type_symbol
_atom_site_fract_x
_atom_site_fract_y
_atom_site_fract_z
_atom_site_occupancy
Pr1 Pr 0.3623 0.1564 0.7246 1
Ho1 Ho 0.5000 0.0000 0.0000 1
Th1 Th 0.7995 0.2995 0.5990 1
Pr2 Pr 0.0000 0.2943 0.0000 1
Pr3 Pr 0.6377 0.8436 0.2754 1
Pr4 Pr 0.3623 0.5682 0.7246 1
Pr5 Pr 0.1594 0.1594 0.3188 1
Th2 Th 0.2005 0.7005 0.4010 1
Pr6 Pr 0.6377 0.4318 0.2754 1
Pr7 Pr 0.8406 0.8406 0.6812 1
Pr8 Pr 0.0000 0.7057 0.0000 1
```

---

First-principles (GGA-PBE) data for a relaxed Pr12Ho3Th crystal, as listed in the Alexandria database.

Results
The value obtained for the formation energy is 0.03 eV/atom. For the calculated volume, the calculation gives 559.60 Å³/cell. Its space group is No. 123. Its crystal system is tetragonal.

Structure (CIF):
```
data_Pr12Ho3Th
_cell_length_a 5.1943
_cell_length_b 5.1943
_cell_length_c 20.7413
_cell_angle_alpha 90.00
_cell_angle_beta 90.00
_cell_angle_gamma 90.00
_symmetry_space_group_name_H-M 'P 1'
_symmetry_Int_Tables_number 1
_symmetry_space_group_name_Hall 'P 1'
loop_
_atom_site_label
_atom_site_type_symbol
_atom_site_fract_x
_atom_site_fract_y
_atom_site_fract_z
_atom_site_occupancy
Pr1 Pr 0.0000 0.5000 0.8762 1
Pr2 Pr 0.5000 0.5000 0.2527 1
Pr3 Pr 0.0000 0.5000 0.3752 1
Ho1 Ho 0.0000 0.0000 0.7491 1
Pr4 Pr 0.5000 0.0000 0.8762 1
Ho2 Ho 0.0000 0.0000 0.5000 1
Pr5 Pr 0.0000 0.5000 0.6248 1
Ho3 Ho 0.0000 0.0000 0.2509 1
Pr6 Pr 0.0000 0.5000 0.1238 1
Pr7 Pr 0.5000 0.0000 0.3752 1
Pr8 Pr 0.5000 0.0000 0.6248 1
Pr9 Pr 0.5000 0.5000 0.5000 1
Pr10 Pr 0.5000 0.0000 0.1238 1
Pr11 Pr 0.5000 0.5000 0.7473 1
Th1 Th 0.0000 0.0000 0.0000 1
Pr12 Pr 0.5000 0.5000 0.0000 1
```

---

First-principles (GGA-PBE) data for a relaxed PrHo8Th2 crystal, as listed in the Alexandria database.

Results
The value obtained for the formation energy is 0.18 eV/atom. For the offset from the most stable computed form, the calculation gives 147.2 meV/atom. For the calculated volume, the calculation gives 369.88 Å³/cell. Its space group is No. 12. Its crystal system is monoclinic.

Structure (CIF):
```
data_PrHo8Th2
_cell_length_a 5.5372
_cell_length_b 10.1620
_cell_length_c 10.1620
_cell_angle_alpha 40.34
_cell_angle_beta 92.05
_cell_angle_gamma 92.05
_symmetry_space_group_name_H-M 'P 1'
_symmetry_Int_Tables_number 1
_symmetry_space_group_name_Hall 'P 1'
loop_
_atom_site_label
_atom_site_type_symbol
_atom_site_fract_x
_atom_site_fract_y
_atom_site_fract_z
_atom_site_occupancy
Ho1 Ho 0.7378 0.8631 0.4026 1
Ho2 Ho 0.2337 0.1835 0.1835 1
Ho3 Ho 0.7606 0.4527 0.4527 1
Ho4 Ho 0.7378 0.4026 0.8631 1
Th1 Th 0.7400 0.2828 0.2828 1
Ho5 Ho 0.2394 0.5473 0.5473 1
Ho6 Ho 0.7663 0.8165 0.8165 1
Pr1 Pr 0.0000 0.0000 0.0000 1
Ho7 Ho 0.2622 0.1369 0.5974 1
Ho8 Ho 0.2622 0.5974 0.1369 1
Th2 Th 0.2600 0.7172 0.7172 1
```

---

First-principles (GGA-PBE) data for a relaxed Pr5Ho5Th2 crystal, as listed in the Alexandria database.

Results
The value obtained for the formation energy is 0.04 eV/atom. For the calculated volume, the calculation gives 400.48 Å³/cell. Its space group is No. 12. Its crystal system is monoclinic.

Structure (CIF):
```
data_Pr5Ho5Th2
_cell_length_a 5.0868
_cell_length_b 10.8379
_cell_length_c 8.1009
_cell_angle_alpha 98.32
_cell_angle_beta 71.70
_cell_angle_gamma 76.43
_symmetry_space_group_name_H-M 'P 1'
_symmetry_Int_Tables_number 1
_symmetry_space_group_name_Hall 'P 1'
loop_
_atom_site_label
_atom_site_type_symbol
_atom_site_fract_x
_atom_site_fract_y
_atom_site_fract_z
_atom_site_occupancy
Ho1 Ho 0.6654 0.0021 0.6670 1
Ho2 Ho 0.0000 0.5000 0.5000 1
Pr1 Pr 0.3331 0.7474 0.5865 1
Pr2 Pr 0.0047 0.7454 0.2452 1
Ho3 Ho 0.3293 0.2565 0.0849 1
Th1 Th 0.6708 0.4980 0.1605 1
Th2 Th 0.3292 0.5020 0.8395 1
Pr3 Pr 0.9953 0.2546 0.7548 1
Pr4 Pr 0.6669 0.2526 0.4135 1
Ho4 Ho 0.6707 0.7435 0.9151 1
Ho5 Ho 0.3346 0.9979 0.3330 1
Pr5 Pr 0.0000 0.0000 0.0000 1
```

---

Question: What is the formula in the second record?
Answer: PrHo2Th